No. 1
TaIrI3 | SCAN | single point on PBEsol structure

Output
E_form (uncorrected) (eV/atom): 1.423
E (eV/atom): -48.16
Space-group type: Pm-3m

a = 5.356 Å, b = 5.356 Å, c = 5.356 Å
α = 90.00°, β = 90.00°, γ = 90.00°
Fractional coordinates of all 5 atoms:
I 0.000 0.500 0.000
I 0.000 0.000 0.500
I 0.500 0.000 0.000
Ir 0.500 0.500 0.500
Ta 0.000 0.000 0.000



No. 2
Ta2TiIrI | SCAN | single point on PBEsol structure

Output
E_form (uncorrected) (eV/atom): 1.974
E (eV/atom): -49.43
Space-group type: P4/mmm

a = 4.625 Å, b = 4.625 Å, c = 4.822 Å
α = 90.00°, β = 90.00°, γ = 90.00°
Fractional coordinates of all 5 atoms:
I 0.000 0.000 0.500
Ir 0.500 0.500 0.500
Ti 0.000 0.000 0.000
Ta 0.000 0.500 0.000
Ta 0.500 0.000 0.000



No. 3
Tb6IrI10 | SCAN | single point on PBEsol structure

Output
E_form (uncorrected) (eV/atom): -1.431
E (eV/atom): -43.73
Space-group type: P-1

a = 7.564 Å, b = 9.523 Å, c = 9.486 Å
α = 107.33°, β = 104.89°, γ = 97.03°
Fractional coordinates of all 17 atoms:
Tb 0.644 0.831 0.872
Tb 0.356 0.169 0.128
Tb 0.031 0.913 0.711
Tb 0.969 0.087 0.289
Tb 0.116 0.756 0.041
Tb 0.884 0.244 0.959
Ir 0.000 0.000 0.000
I 0.640 0.724 0.539
I 0.360 0.276 0.461
I 0.216 0.644 0.736
I 0.784 0.356 0.264
I 0.452 0.093 0.812
I 0.548 0.907 0.188
I 0.266 0.466 0.090
I 0.734 0.534 0.910
I 0.088 0.816 0.374
I 0.912 0.184 0.626



No. 4
TcIr3I | SCAN | single point on PBEsol structure

Output
E_form (uncorrected) (eV/atom): 1.933
E (eV/atom): -55.09
Space-group type: Pm-3m

a = 4.691 Å, b = 4.691 Å, c = 4.691 Å
α = 90.00°, β = 90.00°, γ = 90.00°
Fractional coordinates of all 5 atoms:
I 0.500 0.500 0.500
Ir 0.000 0.500 0.000
Ir 0.000 0.000 0.500
Ir 0.500 0.000 0.000
Tc 0.000 0.000 0.000